(1)
Material: TmTe2
Method: DFT, GGA-PBE
State: optimized geometry

E   -0.1278 Ha/atom
Density   7.80 Mg/m³
Total magnetization   0.60 Bohr magnetons per cell

Lattice parameters (Å, degrees): 8.973 8.973 8.973 90.00 90.00 90.00
Space group Fd-3m (No. 227, origin choice 2)
Symmetry-distinct sites (fractional):
Tm  0.125  0.125  0.125
Te  0.000  0.000  0.500

=====

(2)
Material: Tm2Te
Method: DFT, GGA-PBE
State: optimized geometry

E   -0.1523 Ha/atom
Density   8.67 Mg/m³
Total magnetization   0.09 Bohr magnetons per cell

Lattice parameters (Å, degrees): 8.934 8.934 8.934 90.00 90.00 90.00
Space group Fd-3m (No. 227, origin choice 2)
Symmetry-distinct sites (fractional):
Tm  0.000  0.000  0.000
Te  0.125  0.125  0.625

=====

(3)
Material: TmTe2
Method: DFT, GGA-PBE
State: optimized geometry

E   -0.1486 Ha/atom
Density   2.48 Mg/m³
Total magnetization   0.06 Bohr magnetons per cell

Lattice parameters (Å, degrees): 13.139 13.139 13.139 90.00 90.00 90.00
Space group Fd-3m (No. 227, origin choice 2)
Symmetry-distinct sites (fractional):
Tm  0.125  0.125  0.125
Te  0.000  0.000  0.000

=====

What is the density in the first record? 7.80 Mg/m³